# Sm2Er3TmSb6 | Alexandria via LeMat-Bulk | PBE | optimized geometry
# **Raw formation energy**: -1.114 eV/atom
data_Sm2Er3TmSb6
_chemical_formula_sum 'Sm4 Er6 Tm2 Sb12'
_space_group_name_H-M_alt 'C 1 2/m 1'
_space_group_IT_number 12
_cell_length_a 19.130
_cell_length_b 4.390
_cell_length_c 8.779
_cell_angle_alpha 90.00
_cell_angle_beta 103.21
_cell_angle_gamma 90.00
loop_
_space_group_symop_operation_xyz
'x,y,z'
'-x,-y,-z'
'-x,y,-z'
'x,-y,z'
'x+1/2,y+1/2,z'
'-x+1/2,-y+1/2,-z'
'-x+1/2,y+1/2,-z'
'x+1/2,-y+1/2,z'
loop_
_atom_site_label
_atom_site_type_symbol
_atom_site_fract_x
_atom_site_fract_y
_atom_site_fract_z
Sm1 Sm 0.166 0.000 0.332
Er1 Er 0.000 0.500 0.500
Er2 Er 0.168 0.000 0.834
Tm1 Tm 0.000 0.500 0.000
Sb1 Sb 0.002 0.000 0.752
Sb2 Sb 0.165 0.500 0.588
Sb3 Sb 0.166 0.500 0.077

=====

# SmY3Er2Sb6 | Alexandria via LeMat-Bulk | PBE | optimized geometry
# **Raw formation energy**: -1.141 eV/atom
data_SmY3Er2Sb6
_chemical_formula_sum 'Sm2 Y6 Er4 Sb12'
_space_group_name_H-M_alt 'C 1 2/m 1'
_space_group_IT_number 12
_cell_length_a 7.608
_cell_length_b 13.180
_cell_length_c 7.606
_cell_angle_alpha 90.00
_cell_angle_beta 109.48
_cell_angle_gamma 90.00
loop_
_space_group_symop_operation_xyz
'x,y,z'
'-x,-y,-z'
'-x,y,-z'
'x,-y,z'
'x+1/2,y+1/2,z'
'-x+1/2,-y+1/2,-z'
'-x+1/2,y+1/2,-z'
'x+1/2,-y+1/2,z'
loop_
_atom_site_label
_atom_site_type_symbol
_atom_site_fract_x
_atom_site_fract_y
_atom_site_fract_z
Sm1 Sm 0.000 0.000 0.000
Y1 Y 0.000 0.165 0.500
Y2 Y 0.000 0.500 0.500
Er1 Er 0.000 0.333 0.000
Sb1 Sb 0.245 0.500 0.249
Sb2 Sb 0.248 0.331 0.750

=====

# Sm2YEr3Sb6 | Alexandria via LeMat-Bulk | PBE | optimized geometry
# **Raw formation energy**: -1.132 eV/atom
data_Sm2YEr3Sb6
_chemical_formula_sum 'Sm4 Y2 Er6 Sb12'
_space_group_name_H-M_alt 'C 1 2/m 1'
_space_group_IT_number 12
_cell_length_a 19.171
_cell_length_b 4.400
_cell_length_c 8.796
_cell_angle_alpha 90.00
_cell_angle_beta 103.19
_cell_angle_gamma 90.00
loop_
_space_group_symop_operation_xyz
'x,y,z'
'-x,-y,-z'
'-x,y,-z'
'x,-y,z'
'x+1/2,y+1/2,z'
'-x+1/2,-y+1/2,-z'
'-x+1/2,y+1/2,-z'
'x+1/2,-y+1/2,z'
loop_
_atom_site_label
_atom_site_type_symbol
_atom_site_fract_x
_atom_site_fract_y
_atom_site_fract_z
Sm1 Sm 0.166 0.000 0.333
Y1 Y 0.000 0.500 0.000
Er1 Er 0.000 0.500 0.500
Er2 Er 0.167 0.000 0.834
Sb1 Sb 0.002 0.000 0.749
Sb2 Sb 0.165 0.500 0.588
Sb3 Sb 0.167 0.500 0.078

=====

# ErSnSb2 | Alexandria via LeMat-Bulk | PBE | optimized geometry
# **ΔE to the lowest computed polymorph**: 2.9 kJ per mole of atoms
# **Raw formation energy**: -0.398 eV/atom
data_ErSnSb2
_chemical_formula_sum 'Er3 Sn3 Sb6'
_space_group_name_H-M_alt 'R -3 m'
_space_group_IT_number 166
_space_group_name_Hall '-R 3 2"'
_cell_length_a 4.2765
_cell_length_b 4.2765
_cell_length_c 22.7761
_cell_angle_alpha 90.00
_cell_angle_beta 90.00
_cell_angle_gamma 120.00
loop_
_atom_site_label
_atom_site_type_symbol
_atom_site_fract_x
_atom_site_fract_y
_atom_site_fract_z
Er1 Er 0.0000 0.0000 0.0000
Sn1 Sn 0.0000 0.0000 0.5000
Sb1 Sb 0.0000 0.0000 0.2514

=====

# ErSnSb | Alexandria via LeMat-Bulk | PBE | optimized geometry
# **Raw formation energy**: -0.517 eV/atom
data_ErSnSb
_chemical_formula_sum 'Er4 Sn4 Sb4'
_space_group_name_H-M_alt 'I 21 21 21'
_space_group_IT_number 24
_cell_length_a 6.532
_cell_length_b 6.920
_cell_length_c 7.180
_cell_angle_alpha 90.00
_cell_angle_beta 90.00
_cell_angle_gamma 90.00
loop_
_space_group_symop_operation_xyz
'x,y,z'
'-x,-y+1/2,z'
'x,-y,-z+1/2'
'-x,y+1/2,-z+1/2'
'x+1/2,y+1/2,z+1/2'
'-x+1/2,-y,z+1/2'
'x+1/2,-y+1/2,-z'
'-x+1/2,y,-z'
loop_
_atom_site_label
_atom_site_type_symbol
_atom_site_fract_x
_atom_site_fract_y
_atom_site_fract_z
Er1 Er 0.127 0.000 0.250
Sn1 Sn 0.250 0.354 0.500
Sb1 Sb 0.000 0.250 0.905

=====

# Er4SnSb2 | Alexandria via LeMat-Bulk | PBE | optimized geometry
# **Raw formation energy**: -0.698 eV/atom
data_Er4SnSb2
_chemical_formula_sum 'Er16 Sn4 Sb8'
_space_group_name_H-M_alt 'I 41/a m d'
_space_group_IT_number 141
_cell_length_a 9.564
_cell_length_b 9.564
_cell_length_c 9.363
_cell_angle_alpha 90.00
_cell_angle_beta 90.00
_cell_angle_gamma 90.00
loop_
_space_group_symop_operation_xyz
'x,y,z'
'-x,-y,-z'
'-y+1/4,x+3/4,z+1/4'
'y+1/4,-x+3/4,-z+1/4'
'-x+1/2,-y,z+1/2'
'x+1/2,y,-z+1/2'
'y+1/4,-x+1/4,z+3/4'
'-y+1/4,x+1/4,-z+3/4'
'x,-y,-z'
'-x,y,z'
'-y+1/4,-x+1/4,-z+3/4'
'y+1/4,x+1/4,z+3/4'
'-x+1/2,y,-z+1/2'
'x+1/2,-y,z+1/2'
'y+1/4,x+3/4,-z+1/4'
'-y+1/4,-x+3/4,z+1/4'
'x+1/2,y+1/2,z+1/2'
'-x+1/2,-y+1/2,-z+1/2'
'-y+3/4,x+1/4,z+3/4'
'y+3/4,-x+1/4,-z+3/4'
'-x,-y+1/2,z'
'x,y+1/2,-z'
'y+3/4,-x+3/4,z+1/4'
'-y+3/4,x+3/4,-z+1/4'
'x+1/2,-y+1/2,-z+1/2'
'-x+1/2,y+1/2,z+1/2'
'-y+3/4,-x+3/4,-z+1/4'
'y+3/4,x+3/4,z+1/4'
'-x,y+1/2,-z'
'x,-y+1/2,z'
'y+3/4,x+1/4,-z+3/4'
'-y+3/4,-x+1/4,z+3/4'
loop_
_atom_site_label
_atom_site_type_symbol
_atom_site_fract_x
_atom_site_fract_y
_atom_site_fract_z
Er1 Er 0.000 0.063 0.189
Sn1 Sn 0.000 0.250 0.875
Sb1 Sb 0.000 0.000 0.500

=====

- raw formation energy of number 6 (Er4SnSb2)?
  -0.698 eV/atom

=====

- What is the raw formation energy in the fourth record?
  -0.398 eV/atom

=====

- Among the records above, which one has the lowest raw formation energy?
  SmY3Er2Sb6